DFT (PBEsol) results for a geometry-optimized Ca2AsCl structure.

The structure in POSCAR format:
```
Ca2AsCl
1.0
3.754 0.000 0.000
-1.877 3.251 0.000
0.000 0.000 30.588
Ca As Cl
6 3 3
Cartesian
0.000 0.000 0.000
0.000 0.000 6.703
0.000 2.167 20.392
0.000 2.167 27.095
1.877 1.084 10.196
1.877 1.084 16.899
0.000 0.000 22.368
0.000 2.167 12.171
1.877 1.084 1.975
0.000 0.000 15.364
0.000 2.167 5.168
1.877 1.084 25.560
```

Summary:
total magnetization = 0.000 μB per formula unit
ΔE_f (raw) = -0.721 eV per atom
raw total energy = -3.5665 eV per atom

***

DFT (PBEsol) results for a geometry-optimized Zr2TlPt structure.

The structure in POSCAR format:
```
Zr2TlPt
1.0
3.082 0.000 0.000
0.000 3.082 0.000
0.000 0.000 8.292
Zr Tl Pt
2 1 1
Cartesian
0.000 0.000 1.860
0.000 0.000 6.432
1.541 1.541 4.146
1.541 1.541 0.000
```

Summary:
energy of formation from the pure elements = -0.55 eV/atom
total magnetization = 0.000 μB per formula unit
raw total energy = -7.4968 eV per atom

***

DFT (PBEsol) results for a geometry-optimized Cd3Au structure.

The structure in POSCAR format:
```
Cd3Au
1.0
9.578 0.000 0.000
0.000 3.452 0.000
-1.156 0.000 4.719
Cd Au
6 2
Cartesian
0.000 0.000 0.000
1.479 0.000 3.493
2.155 1.726 1.226
4.789 1.726 0.000
6.268 1.726 3.493
6.944 0.000 1.226
-0.578 1.726 2.359
4.211 0.000 2.359
```

Summary:
energy of formation from the pure elements = -0.08 eV/atom
total magnetization = 0.000 μB per formula unit
raw total energy = -1.9597 eV per atom

***

DFT (PBEsol) results for a geometry-optimized BaB12H12 structure.

The structure in POSCAR format:
```
BaB12H12
1.0
7.178 0.000 0.000
-3.589 6.216 0.000
0.000 0.000 11.591
Ba B H
2 24 24
Cartesian
0.000 4.144 0.000
3.589 2.072 5.795
-1.086 2.902 7.559
-1.626 4.463 6.918
-0.669 3.370 5.900
-1.006 4.346 8.575
0.537 2.576 6.918
0.328 3.172 8.575
-0.336 5.111 5.900
-0.532 5.706 7.559
1.962 1.753 1.123
1.005 3.952 5.900
3.057 0.510 1.764
0.678 4.914 8.575
2.583 1.870 2.779
1.618 3.824 7.559
3.253 1.105 0.105
1.089 5.393 6.918
2.502 3.314 1.764
2.920 2.846 0.105
4.267 1.302 2.779
4.678 0.823 1.123
3.916 3.044 2.779
4.594 2.264 0.105
4.126 3.640 1.123
5.207 2.392 1.764
-2.679 4.766 0.884
-1.119 2.815 4.923
-0.812 2.609 2.042
-1.746 4.498 9.521
0.801 1.513 0.884
0.910 1.450 6.679
0.567 2.455 9.521
-0.923 5.615 2.042
-0.592 5.778 4.923
1.842 1.718 3.726
2.666 0.601 7.837
2.997 0.438 10.718
1.711 3.839 4.923
1.735 4.208 2.042
1.180 5.479 9.521
2.469 3.401 10.718
2.777 3.607 7.837
4.769 0.737 3.726
1.878 6.153 0.884
5.467 0.063 6.679
4.155 3.761 3.726
5.324 2.008 7.837
5.300 2.377 10.718
4.389 4.703 6.679
```

Summary:
total magnetization = 0.000 μB per formula unit
raw total energy = -5.3867 eV per atom

***

DFT (PBEsol) results for a geometry-optimized MgCdPb2 structure.

The structure in POSCAR format:
```
MgCdPb2
1.0
3.429 0.000 0.000
0.000 3.429 0.000
0.000 0.000 8.694
Mg Cd Pb
1 1 2
Cartesian
0.000 0.000 0.000
1.714 1.714 1.800
0.000 0.000 3.981
1.714 1.714 6.554
```

Summary:
energy of formation from the pure elements = -0.03 eV/atom
total magnetization = 0.000 μB per formula unit
raw total energy = -2.7556 eV per atom

***

DFT (PBEsol) results for a geometry-optimized Ta2ZnP structure.

The structure in POSCAR format:
```
Ta2ZnP
1.0
5.731 0.000 0.000
0.000 6.794 0.000
0.000 0.000 3.082
Ta Zn P
4 2 2
Cartesian
1.433 1.698 0.000
1.433 5.095 0.000
4.298 1.698 0.000
4.298 5.095 0.000
0.000 0.000 1.541
2.865 3.397 1.541
0.000 3.397 1.541
2.865 0.000 1.541
```

Summary:
energy of formation from the pure elements = -0.11 eV/atom
total magnetization = 0.000 μB per formula unit
raw total energy = -8.2299 eV per atom

***

DFT (PBEsol) results for a geometry-optimized Nb2ZnCo2 structure.

The structure in POSCAR format:
```
Nb2ZnCo2
1.0
6.811 0.000 0.000
0.000 6.811 0.000
0.000 0.000 3.014
Nb Zn Co
4 2 4
Cartesian
1.183 2.223 0.000
2.223 5.629 0.000
4.588 1.183 0.000
5.629 4.588 0.000
0.000 0.000 1.507
3.406 3.406 1.507
0.869 4.275 1.507
2.536 0.869 1.507
4.275 5.942 1.507
5.942 2.536 1.507
```

Summary:
energy of formation from the pure elements = -0.15 eV/atom
total magnetization = 0.000 μB per formula unit
raw total energy = -7.8898 eV per atom

***

DFT (PBEsol) results for a geometry-optimized YScRu4 structure.

The structure in POSCAR format:
```
YScRu4
1.0
0.000 3.673 3.673
3.673 0.000 3.673
3.673 3.673 0.000
Y Sc Ru
1 1 4
Cartesian
0.000 0.000 0.000
1.836 1.836 1.836
4.589 2.757 2.757
2.757 4.589 2.757
2.757 2.757 4.589
4.589 4.589 4.589
```

Summary:
energy of formation from the pure elements = -0.27 eV/atom
total magnetization = 0.001 μB per formula unit
raw total energy = -9.2865 eV per atom

***

DFT (PBEsol) results for a geometry-optimized KTePPd2 structure.

The structure in POSCAR format:
```
KTePPd2
1.0
4.560 0.000 0.000
0.000 4.560 0.000
0.000 0.000 5.535
K Te P Pd
1 1 1 2
Cartesian
0.000 0.000 0.000
2.280 2.280 0.000
2.280 2.280 2.767
0.000 2.280 2.767
2.280 0.000 2.767
```

Summary:
total magnetization = 0.000 μB per formula unit
ΔE_f (raw) = -0.132 eV per atom
raw total energy = -4.6057 eV per atom

***

DFT (PBEsol) results for a geometry-optimized Hf2TiZnPd structure.

The structure in POSCAR format:
```
Hf2TiZnPd
1.0
4.850 0.000 0.000
0.000 4.850 0.000
0.000 0.000 4.462
Hf Ti Zn Pd
2 1 1 1
Cartesian
0.000 2.425 0.000
2.425 0.000 0.000
0.000 0.000 2.231
2.425 2.425 0.000
2.425 2.425 2.231
```

Summary:
energy of formation from the pure elements = 0.73 eV/atom
total magnetization = 2.660 μB per formula unit
raw total energy = -6.6468 eV per atom

***

DFT (PBEsol) results for a geometry-optimized KHfGa3 structure.

The structure in POSCAR format:
```
KHfGa3
1.0
4.980 0.000 0.000
0.000 4.980 0.000
0.000 0.000 4.980
K Hf Ga
1 1 3
Cartesian
0.000 0.000 0.000
2.490 2.490 2.490
0.000 0.000 2.490
0.000 2.490 0.000
2.490 0.000 0.000
```

Summary:
energy of formation from the pure elements = 1.44 eV/atom
total magnetization = 0.000 μB per formula unit
raw total energy = -2.8863 eV per atom

***

DFT (PBEsol) results for a geometry-optimized NaGdS2 structure.

The structure in POSCAR format:
```
NaGdS2
1.0
3.979 0.000 0.000
-1.989 3.446 0.000
0.000 0.000 19.711
Na Gd S
3 3 6
Cartesian
0.000 0.000 0.000
0.000 2.297 13.141
1.989 1.149 6.570
0.000 0.000 9.856
0.000 2.297 3.285
1.989 1.149 16.426
0.000 0.000 4.791
0.000 0.000 14.920
0.000 2.297 8.350
0.000 2.297 17.932
1.989 1.149 1.779
1.989 1.149 11.362
```

Summary:
total magnetization = 7.000 μB per formula unit
ΔE_f (raw) = -1.859 eV per atom
raw total energy = -8.0131 eV per atom

***

DFT (PBEsol) results for a geometry-optimized La2Cu structure.

The structure in POSCAR format:
```
La2Cu
1.0
3.600 0.000 0.000
0.000 16.471 0.000
0.000 0.000 5.369
La Cu
8 4
Cartesian
0.000 1.212 1.342
0.000 3.615 4.027
0.000 12.856 1.342
0.000 15.259 4.027
1.800 4.620 1.342
1.800 7.024 4.027
1.800 9.447 1.342
1.800 11.851 4.027
0.000 7.006 1.342
0.000 9.465 4.027
1.800 1.229 4.027
1.800 15.242 1.342
```

Summary:
energy of formation from the pure elements = -0.02 eV/atom
total magnetization = 0.001 μB per formula unit
raw total energy = -5.0252 eV per atom

***

DFT (PBEsol) results for a geometry-optimized Be2TeRu structure.

The structure in POSCAR format:
```
Be2TeRu
1.0
3.076 0.000 0.000
0.000 3.634 0.000
0.000 0.000 5.191
Be Te Ru
2 1 1
Cartesian
0.000 0.000 0.000
1.538 1.817 0.345
0.000 1.817 3.099
1.538 0.000 1.641
```

Summary:
total magnetization = 0.000 μB per formula unit
ΔE_f (raw) = 0.226 eV per atom
raw total energy = -5.1982 eV per atom

***

DFT (PBEsol) results for a geometry-optimized Tl2SeBr structure.

The structure in POSCAR format:
```
Tl2SeBr
1.0
7.506 0.000 0.000
0.000 7.506 0.000
0.000 0.000 7.506
Tl Se Br
8 4 4
Cartesian
1.876 1.876 1.876
1.876 1.876 5.629
1.876 5.629 1.876
1.876 5.629 5.629
5.629 1.876 1.876
5.629 1.876 5.629
5.629 5.629 1.876
5.629 5.629 5.629
0.000 0.000 0.000
0.000 3.753 3.753
3.753 0.000 3.753
3.753 3.753 0.000
0.000 0.000 3.753
0.000 3.753 0.000
3.753 0.000 0.000
3.753 3.753 3.753
```

Summary:
total magnetization = 0.001 μB per formula unit
ΔE_f (raw) = -0.370 eV per atom
raw total energy = -3.1149 eV per atom

***

DFT (PBEsol) results for a geometry-optimized TlTe2AuI structure.

The structure in POSCAR format:
```
TlTe2AuI
1.0
5.411 0.000 0.000
0.000 5.411 0.000
0.000 0.000 5.619
Tl Te Au I
1 2 1 1
Cartesian
0.000 0.000 0.000
0.000 2.706 2.809
2.706 0.000 2.809
2.706 2.706 2.809
2.706 2.706 0.000
```

Summary:
total magnetization = 0.001 μB per formula unit
ΔE_f (raw) = 0.133 eV per atom
raw total energy = -2.9412 eV per atom

***

DFT (PBEsol) results for a geometry-optimized Mn2IrPt structure.

The structure in POSCAR format:
```
Mn2IrPt
1.0
4.223 0.000 0.000
0.000 4.223 0.000
0.000 0.000 6.268
Mn Ir Pt
4 2 2
Cartesian
0.000 2.112 1.567
0.000 2.112 4.701
2.112 0.000 1.567
2.112 0.000 4.701
0.000 0.000 0.000
2.112 2.112 3.134
0.000 0.000 3.134
2.112 2.112 0.000
```

Summary:
energy of formation from the pure elements = -0.05 eV/atom
total magnetization = 8.560 μB per formula unit
raw total energy = -9.1294 eV per atom

***

DFT (PBEsol) results for a geometry-optimized CaTa2HgAs structure.

The structure in POSCAR format:
```
CaTa2HgAs
1.0
4.792 0.000 0.000
0.000 4.792 0.000
0.000 0.000 5.203
Ca Ta Hg As
1 2 1 1
Cartesian
0.000 0.000 0.000
0.000 2.396 2.602
2.396 0.000 2.602
2.396 2.396 0.000
2.396 2.396 2.602
```

Summary:
energy of formation from the pure elements = 0.71 eV/atom
total magnetization = 0.000 μB per formula unit
raw total energy = -5.8748 eV per atom

***

DFT (PBEsol) results for a geometry-optimized Tl2TcAs structure.

The structure in POSCAR format:
```
Tl2TcAs
1.0
3.450 0.000 0.000
0.000 4.641 0.000
0.000 0.000 4.966
Tl Tc As
2 1 1
Cartesian
0.000 0.000 0.000
1.725 0.000 2.483
0.000 2.321 2.483
1.725 2.321 0.000
```

Summary:
energy of formation from the pure elements = 0.75 eV/atom
total magnetization = 0.130 μB per formula unit
raw total energy = -4.6547 eV per atom

***

DFT (PBEsol) results for a geometry-optimized ZrAlTc2 structure.

The structure in POSCAR format:
```
ZrAlTc2
1.0
2.964 0.000 0.000
0.000 2.964 0.000
0.000 0.000 7.299
Zr Al Tc
1 1 2
Cartesian
0.000 0.000 0.000
1.482 1.482 2.126
0.000 0.000 3.756
1.482 1.482 5.193
```

Summary:
energy of formation from the pure elements = -0.27 eV/atom
total magnetization = 0.000 μB per formula unit
raw total energy = -9.1964 eV per atom